1.
# MnCuIr2, optimized geometry, DFT GGA-PBE
# Size of the total moment in μB per cell: 2.7
# DFT formation energy in eV/f.u.: 0.0
# Electronic total energy in eV for the cell shown: -31.0
data_MnCuIr2
_chemical_formula_sum 'Mn1 Cu1 Ir2'
_cell_length_a 2.735
_cell_length_b 3.788
_cell_length_c 5.264
_cell_angle_alpha 90.00
_cell_angle_beta 90.12
_cell_angle_gamma 90.00
_space_group_name_H-M_alt 'P 1 m 1'
_space_group_IT_number 6
loop_
_space_group_symop_operation_xyz
'x,y,z'
'x,-y,z'
loop_
_atom_site_label
_atom_site_fract_x
_atom_site_fract_y
_atom_site_fract_z
Mn1 0.000 0.000 0.000
Cu1 0.500 0.500 0.245
Ir1 0.000 0.000 0.492
Ir2 0.500 0.500 0.750

2.
# MnCuIr2, optimized geometry, DFT GGA-PBE
# Size of the total moment in μB per cell: 12.6
# DFT formation energy in eV/f.u.: 0.8
# Electronic total energy in eV for the cell shown: -120.6
data_MnCuIr2
_chemical_formula_sum 'Mn4 Cu4 Ir8'
_cell_length_a 6.085
_cell_length_b 6.085
_cell_length_c 6.085
_cell_angle_alpha 90.00
_cell_angle_beta 90.00
_cell_angle_gamma 90.00
_space_group_name_H-M_alt 'F -4 3 m'
_space_group_IT_number 216
_space_group_name_Hall 'F -4 2 3'
loop_
_atom_site_label
_atom_site_fract_x
_atom_site_fract_y
_atom_site_fract_z
Mn1 0.000 0.000 0.000
Cu1 0.250 0.250 0.250
Ir1 0.000 0.000 0.500
Ir2 0.250 0.250 0.750

3.
# MnCuIr2, optimized geometry, DFT GGA-PBE
# Size of the total moment in μB per cell: 7.4
# DFT formation energy in eV/f.u.: 0.4
# Electronic total energy in eV for the cell shown: -61.1
data_MnCuIr2
_chemical_formula_sum 'Mn2 Cu2 Ir4'
_cell_length_a 2.817
_cell_length_b 4.593
_cell_length_c 8.646
_cell_angle_alpha 90.00
_cell_angle_beta 90.00
_cell_angle_gamma 90.00
_space_group_name_H-M_alt 'C m m m'
_space_group_IT_number 65
_space_group_name_Hall '-C 2 2'
loop_
_atom_site_label
_atom_site_fract_x
_atom_site_fract_y
_atom_site_fract_z
Mn1 0.000 0.000 0.000
Cu1 0.000 0.000 0.500
Ir1 0.000 0.500 0.244

4.
# MnCuIr3, optimized geometry, DFT GGA-PBE
# Size of the total moment in μB per cell: 0.3
# DFT formation energy in eV/f.u.: 9.6
# Electronic total energy in eV for the cell shown: -30.2
# Energy above the lowest structure with this stoichiometry in meV per atom: 512.2
data_MnCuIr3
_chemical_formula_sum 'Mn1 Cu1 Ir3'
_cell_length_a 4.421
_cell_length_b 4.421
_cell_length_c 4.421
_cell_angle_alpha 90.00
_cell_angle_beta 90.00
_cell_angle_gamma 90.00
_space_group_name_H-M_alt 'P m -3 m'
_space_group_IT_number 221
_space_group_name_Hall '-P 4 2 3'
loop_
_atom_site_label
_atom_site_fract_x
_atom_site_fract_y
_atom_site_fract_z
Mn1 0.000 0.000 0.000
Cu1 0.500 0.500 0.500
Ir1 0.000 0.500 0.500